(1)
# PBE-GGA LaPrDy2S4, optimized geometry
# **D(E_F)**: 0.539 states/eV/atom
# **Formation energy (no corrections)**: -16.40 eV per formula unit
# **Spin magnetization**: 0.00 μB per atom
# **Total energy**: -6.48 eV/atom
# **Density**: 6.63 g/cm3
data_LaPrDy2S4
_cell_length_a 6.895
_cell_length_b 3.957
_cell_length_c 7.099
_cell_angle_alpha 90.00
_cell_angle_beta 108.72
_cell_angle_gamma 90.00
_space_group_name_H-M_alt 'P 1 2/m 1'
_space_group_IT_number 10
_space_group_name_Hall '-P 2y'
loop_
_atom_site_label
_atom_site_fract_x
_atom_site_fract_y
_atom_site_fract_z
La1 0.000 0.000 0.000
Pr1 0.500 0.500 0.000
Dy1 0.000 0.500 0.500
Dy2 0.500 0.000 0.500
S1 0.244 0.000 0.730
S2 0.258 0.500 0.270

***

(2)
# PBE-GGA La2Pr3DyS6, optimized geometry
# **D(E_F)**: 0.440 states/eV/atom
# **Formation energy (no corrections)**: -24.80 eV per formula unit
# **Spin magnetization**: 0.00 μB per atom
# **Total energy**: -6.53 eV/atom
# **Density**: 6.04 g/cm3
data_La2Pr3DyS6
_cell_length_a 7.084
_cell_length_b 12.292
_cell_length_c 7.075
_cell_angle_alpha 90.00
_cell_angle_beta 109.61
_cell_angle_gamma 90.00
_space_group_name_H-M_alt 'C 1 2/m 1'
_space_group_IT_number 12
_space_group_name_Hall '-C 2y'
loop_
_atom_site_label
_atom_site_fract_x
_atom_site_fract_y
_atom_site_fract_z
La1 0.000 0.166 0.000
Pr1 0.000 0.000 0.500
Pr2 0.000 0.330 0.500
Dy1 0.000 0.500 0.000
S1 0.239 0.500 0.753
S2 0.242 0.339 0.243

***

(3)
# PBE-GGA La2PrDy3S6, optimized geometry
# **D(E_F)**: 0.449 states/eV/atom
# **Formation energy (no corrections)**: -24.75 eV per formula unit
# **Spin magnetization**: 0.00 μB per atom
# **Total energy**: -6.50 eV/atom
# **Density**: 6.61 g/cm3
data_La2PrDy3S6
_cell_length_a 17.625
_cell_length_b 3.973
_cell_length_c 8.151
_cell_angle_alpha 90.00
_cell_angle_beta 104.76
_cell_angle_gamma 90.00
_space_group_name_H-M_alt 'C 1 2/m 1'
_space_group_IT_number 12
_space_group_name_Hall '-C 2y'
loop_
_atom_site_label
_atom_site_fract_x
_atom_site_fract_y
_atom_site_fract_z
La1 0.166 0.000 0.332
Pr1 0.000 0.500 0.000
Dy1 0.000 0.500 0.500
Dy2 0.166 0.000 0.833
S1 0.005 0.000 0.739
S2 0.162 0.500 0.595
S3 0.171 0.500 0.071

***

(4)
# PBE-GGA LaPr2DySb4, optimized geometry
# **D(E_F)**: 0.110 states/eV/atom
# **Formation energy (no corrections)**: -9.51 eV per formula unit
# **Spin magnetization**: 0.00 μB per atom
# **Total energy**: -5.64 eV/atom
# **Density**: 6.74 g/cm3
data_LaPr2DySb4
_cell_length_a 7.847
_cell_length_b 4.539
_cell_length_c 7.854
_cell_angle_alpha 90.00
_cell_angle_beta 109.46
_cell_angle_gamma 90.00
_space_group_name_H-M_alt 'P 1 2/m 1'
_space_group_IT_number 10
_space_group_name_Hall '-P 2y'
loop_
_atom_site_label
_atom_site_fract_x
_atom_site_fract_y
_atom_site_fract_z
La1 0.000 0.000 0.000
Pr1 0.000 0.500 0.500
Pr2 0.500 0.000 0.500
Dy1 0.500 0.500 0.000
Sb1 0.255 0.500 0.248
Sb2 0.258 0.000 0.757